Entry 1:
Computed, not measured: a geometry-optimized NaAg2Cl3 structure at the PBE level of DFT.

```
data_NaAg2Cl3
_chemical_formula_sum 'Na2 Ag4 Cl6'
_space_group_name_H-M_alt 'P 1'
_space_group_IT_number 1
_cell_length_a 5.718
_cell_length_b 8.118
_cell_length_c 8.118
_cell_angle_alpha 111.84
_cell_angle_beta 90.00
_cell_angle_gamma 90.00
loop_
_space_group_symop_operation_xyz
'x,y,z'
loop_
_atom_site_label
_atom_site_type_symbol
_atom_site_fract_x
_atom_site_fract_y
_atom_site_fract_z
Na1 Na 0.250 0.195 0.805
Na2 Na 0.750 0.805 0.195
Ag1 Ag 0.000 0.229 0.229
Ag2 Ag 0.000 0.771 0.771
Cl1 Cl 0.250 0.899 0.101
Cl2 Cl 0.750 0.562 0.855
Ag3 Ag 0.500 0.771 0.771
Cl3 Cl 0.250 0.438 0.145
Cl4 Cl 0.750 0.101 0.899
Cl5 Cl 0.250 0.855 0.562
Ag4 Ag 0.500 0.229 0.229
Cl6 Cl 0.750 0.145 0.438
```

Values from the calculation:
SG: Cmcm (63)
Energy relative to the lowest polymorph listed for this composition (eV/atom): 0.081
DOS(E_F) (states/eV/f.u.): 0.00
ΔE_f (raw) (eV per atom): -0.7980
Crystal system: orthorhombic



Entry 2:
Computed, not measured: a geometry-optimized HfZr2V structure at the PBE level of DFT.

```
data_HfZr2V
_chemical_formula_sum 'Hf1 Zr2 V1'
_space_group_name_H-M_alt 'P 1'
_space_group_IT_number 1
_cell_length_a 4.584
_cell_length_b 4.273
_cell_length_c 4.273
_cell_angle_alpha 90.00
_cell_angle_beta 90.00
_cell_angle_gamma 90.00
loop_
_space_group_symop_operation_xyz
'x,y,z'
loop_
_atom_site_label
_atom_site_type_symbol
_atom_site_fract_x
_atom_site_fract_y
_atom_site_fract_z
Zr1 Zr 0.000 0.000 0.500
Zr2 Zr 0.000 0.500 0.000
V1 V 0.500 0.500 0.500
Hf1 Hf 0.500 0.000 0.000
```

Values from the calculation:
SG: P4/mmm (123)
Energy relative to the lowest polymorph listed for this composition (eV/atom): 0.091
ΔH_f (0 K) (meV/atom): 226.4
DOS(E_F) (states/eV/f.u.): 6.73
Crystal system: tetragonal



Entry 3:
Computed, not measured: a geometry-optimized PmThSi2Pt5 structure at the PBE level of DFT.

```
data_PmThSi2Pt5
_chemical_formula_sum 'Pm1 Th1 Si2 Pt5'
_space_group_name_H-M_alt 'P 1'
_space_group_IT_number 1
_cell_length_a 4.315
_cell_length_b 4.315
_cell_length_c 8.869
_cell_angle_alpha 90.00
_cell_angle_beta 90.00
_cell_angle_gamma 90.00
loop_
_space_group_symop_operation_xyz
'x,y,z'
loop_
_atom_site_label
_atom_site_type_symbol
_atom_site_fract_x
_atom_site_fract_y
_atom_site_fract_z
Pt1 Pt 0.000 0.500 0.737
Pt2 Pt 0.000 0.500 0.263
Th1 Th 0.000 0.000 0.000
Si1 Si 0.500 0.500 0.135
Si2 Si 0.500 0.500 0.865
Pt3 Pt 0.500 0.000 0.737
Pm1 Pm 0.000 0.000 0.500
Pt4 Pt 0.500 0.500 0.500
Pt5 Pt 0.500 0.000 0.263
```

Values from the calculation:
SG: P4/mmm (123)
DOS(E_F) (states/eV/f.u.): 3.70
ΔE_f (raw) (eV per atom): -1.0513
Crystal system: tetragonal



Entry 4:
Computed, not measured: a geometry-optimized CaNi2Sn8 structure at the PBE level of DFT.

```
data_CaNi2Sn8
_chemical_formula_sum 'Ca1 Ni2 Sn8'
_space_group_name_H-M_alt 'P 1'
_space_group_IT_number 1
_cell_length_a 6.331
_cell_length_b 6.331
_cell_length_c 7.827
_cell_angle_alpha 90.00
_cell_angle_beta 90.00
_cell_angle_gamma 90.00
loop_
_space_group_symop_operation_xyz
'x,y,z'
loop_
_atom_site_label
_atom_site_type_symbol
_atom_site_fract_x
_atom_site_fract_y
_atom_site_fract_z
Sn1 Sn 0.246 0.754 0.803
Sn2 Sn 0.246 0.246 0.197
Sn3 Sn 0.754 0.246 0.197
Ca1 Ca 0.500 0.500 0.500
Ni1 Ni 0.000 0.500 0.000
Ni2 Ni 0.500 0.000 0.000
Sn4 Sn 0.246 0.246 0.803
Sn5 Sn 0.754 0.754 0.197
Sn6 Sn 0.246 0.754 0.197
Sn7 Sn 0.754 0.754 0.803
Sn8 Sn 0.754 0.246 0.803
```

Values from the calculation:
SG: P4/mmm (123)
ΔH_f (0 K) (meV/atom): -107.3
DOS(E_F) (states/eV/f.u.): 5.15
Crystal system: tetragonal



Entry 5:
Computed, not measured: a geometry-optimized NdPaV structure at the PBE level of DFT.

```
data_NdPaV
_chemical_formula_sum 'Nd2 Pa2 V2'
_space_group_name_H-M_alt 'P 1'
_space_group_IT_number 1
_cell_length_a 3.331
_cell_length_b 3.331
_cell_length_c 13.544
_cell_angle_alpha 97.06
_cell_angle_beta 97.06
_cell_angle_gamma 90.00
loop_
_space_group_symop_operation_xyz
'x,y,z'
loop_
_atom_site_label
_atom_site_type_symbol
_atom_site_fract_x
_atom_site_fract_y
_atom_site_fract_z
Pa1 Pa 0.161 0.161 0.322
Nd1 Nd 0.567 0.567 0.134
Nd2 Nd 0.433 0.433 0.866
V1 V 0.276 0.276 0.551
Pa2 Pa 0.839 0.839 0.678
V2 V 0.724 0.724 0.449
```

Values from the calculation:
SG: I4/mmm (139)
ΔH_f (0 K) (meV/atom): 298.5
DOS(E_F) (states/eV/f.u.): 5.19
Crystal system: tetragonal



Entry 6:
Computed, not measured: a geometry-optimized ZnSnSe2Br structure at the PBE level of DFT.

```
data_ZnSnSe2Br
_chemical_formula_sum 'Zn1 Sn1 Se2 Br1'
_space_group_name_H-M_alt 'P 1'
_space_group_IT_number 1
_cell_length_a 5.322
_cell_length_b 5.322
_cell_length_c 5.470
_cell_angle_alpha 90.00
_cell_angle_beta 90.00
_cell_angle_gamma 90.00
loop_
_space_group_symop_operation_xyz
'x,y,z'
loop_
_atom_site_label
_atom_site_type_symbol
_atom_site_fract_x
_atom_site_fract_y
_atom_site_fract_z
Zn1 Zn 0.500 0.500 0.500
Se1 Se 0.500 0.000 0.000
Sn1 Sn 0.000 0.000 0.000
Se2 Se 0.000 0.500 0.000
Br1 Br 0.000 0.000 0.500
```

Values from the calculation:
SG: P4/mmm (123)
Energy relative to the lowest polymorph listed for this composition (eV/atom): 0.292
DOS(E_F) (states/eV/f.u.): 3.23
ΔE_f (raw) (eV per atom): 0.1997
Crystal system: tetragonal